[1]
Computed, not measured: YMgFeSi after structural relaxation at the PBE level of DFT.

Cell lengths 6.402, 6.402, 6.402 Å; angles 90.00, 90.00, 90.00 degrees
Space group F-43m (No. 216)
Symmetry-distinct sites (fractional):
Y1 0.000 0.000 0.000
Mg1 0.250 0.250 0.250
Fe1 0.250 0.250 0.750
Si1 0.000 0.000 0.500

## Properties
The calculation puts the energy above the most stable polymorph in this dataset at 13.3 meV per atom. The size of the total moment is 0.252 μB per atom.

[2]
Computed, not measured: BaNdInO4 after structural relaxation at the PBE level of DFT.

Cell lengths 9.127, 6.073, 8.295 Å; angles 90.00, 103.54, 90.00 degrees
Space group P2_1/c (No. 14)
Symmetry-distinct sites (fractional):
Ba1 0.149 0.248 0.029
Nd1 0.453 0.747 0.606
In1 0.168 0.744 0.294
O1 0.016 0.016 0.226
O2 0.184 0.688 0.048
O3 0.349 0.011 0.878
O4 0.389 0.548 0.830

## Properties
The size of the total moment is 0.001 μB per atom. As for the energy: -6.681 eV/atom.

[3]
Computed, not measured: MgBeGaAu after structural relaxation at the PBE level of DFT.

Cell lengths 6.268, 6.268, 6.268 Å; angles 90.00, 90.00, 90.00 degrees
Space group F-43m (No. 216)
Symmetry-distinct sites (fractional):
Mg1 0.000 0.000 0.000
Be1 0.250 0.250 0.750
Ga1 0.250 0.250 0.250
Au1 0.000 0.000 0.500

## Properties
The calculation puts the energy above the most stable polymorph in this dataset at 72.0 meV per atom.

[4]
Computed, not measured: SrLaAuSe3 after structural relaxation at the PBE level of DFT.

Cell lengths 19.024, 4.217, 8.573 Å; angles 90.00, 102.88, 90.00 degrees
Space group C2/m (No. 12)
Symmetry-distinct sites (fractional):
Sr1 0.124 0.000 0.078
La1 0.164 0.000 0.597
Au1 0.044 0.500 0.717
Se1 0.000 0.000 0.500
Se2 0.000 0.500 0.000
Se3 0.173 0.500 0.354
Se4 0.183 0.500 0.855

## Properties
The size of the total moment is 0.000 μB per atom. As for the energy: -4.877 eV/atom.

[5]
Computed, not measured: Sr4In13Au9 after structural relaxation at the PBE level of DFT.

Cell lengths 12.8595, 12.8595, 4.4538 Å; angles 90.00, 90.00, 120.00 degrees
Space group P-6m2 (No. 187)
Symmetry-distinct sites (fractional):
Sr1 0.0000 0.0000 0.0000
Sr2 0.5393 0.0786 0.5000
In1 0.0400 0.3247 0.0000
In2 0.2496 0.4993 0.5000
In3 0.2672 0.1336 0.5000
In4 0.6667 0.3333 0.0000
Au1 0.1180 0.2361 0.5000
Au2 0.1570 0.5785 0.0000
Au3 0.4262 0.2131 0.0000

## Properties
As for the energy: -3.222 eV/atom.

[6]
Computed, not measured: NaSmTmTe3 after structural relaxation at the PBE level of DFT.

Cell lengths 4.498, 15.218, 12.098 Å; angles 90.00, 90.00, 90.00 degrees
Space group Cmcm (No. 63)
Symmetry-distinct sites (fractional):
Na1 0.000 0.246 0.250
Sm1 0.000 0.500 0.000
Tm1 0.000 0.037 0.750
Te1 0.000 0.143 0.555
Te2 0.000 0.413 0.750

## Properties
The size of the total moment is 0.007 μB per atom. As for the energy: -4.427 eV/atom.

[7]
Computed, not measured: YHfNb after structural relaxation at the PBE level of DFT.

Cell lengths 6.800, 6.800, 6.800 Å; angles 90.00, 90.00, 90.00 degrees
Space group F-43m (No. 216)
Symmetry-distinct sites (fractional):
Y1 0.000 0.000 0.000
Hf1 0.000 0.000 0.500
Nb1 0.250 0.250 0.750

## Properties
The calculation puts the energy above the most stable polymorph in this dataset at 0.0 meV per atom. The size of the total moment is 0.003 μB per atom. As for the formation enthalpy at 0 K: 0.83 eV per atom.

[8]
Computed, not measured: NaGeAsOs after structural relaxation at the PBE level of DFT.

Cell lengths 6.458, 6.458, 6.458 Å; angles 90.00, 90.00, 90.00 degrees
Space group F-43m (No. 216)
Symmetry-distinct sites (fractional):
Na1 0.000 0.000 0.000
Ge1 0.000 0.000 0.500
As1 0.250 0.250 0.750
Os1 0.250 0.250 0.250

## Properties
The calculation puts the energy above the most stable polymorph in this dataset at 485.4 meV per atom. The size of the total moment is 0.002 μB per atom.

[9]
Computed, not measured: PdPbO3 after structural relaxation at the PBE level of DFT.

Cell lengths 5.7187, 5.7187, 13.2909 Å; angles 90.00, 90.00, 120.00 degrees
Space group R-3c (No. 167, hexagonal axes)
Symmetry-distinct sites (fractional):
Pd1 0.0000 0.0000 0.0000
Pb1 0.0000 0.0000 0.2500
O1 0.0000 0.4027 0.2500

## Properties
As for the energy: -5.361 eV/atom.

[10]
Computed, not measured: TmTlSnS3 after structural relaxation at the PBE level of DFT.

Cell lengths 3.941, 17.059, 10.651 Å; angles 90.00, 90.00, 90.00 degrees
Space group Cmcm (No. 63)
Symmetry-distinct sites (fractional):
Tm1 0.000 0.000 0.000
Tl1 0.000 0.305 0.250
Sn1 0.000 0.370 0.750
S1 0.000 0.027 0.250
S2 0.000 0.393 0.014

## Properties
The calculation puts the energy above the most stable polymorph in this dataset at 74.4 meV per atom. The size of the total moment is 0.000 μB per atom.

[11]
Computed, not measured: PmGdAu after structural relaxation at the PBE level of DFT.

Cell lengths 6.954, 6.954, 6.954 Å; angles 90.00, 90.00, 90.00 degrees
Space group F-43m (No. 216)
Symmetry-distinct sites (fractional):
Pm1 0.000 0.000 0.000
Gd1 0.250 0.250 0.750
Au1 0.000 0.000 0.500

## Properties
The size of the total moment is 0.000 μB per atom. As for the formation enthalpy at 0 K: 0.09 eV per atom.

[12]
Computed, not measured: LuNb2Si after structural relaxation at the PBE level of DFT.

Cell lengths 6.663, 6.663, 6.663 Å; angles 90.00, 90.00, 90.00 degrees
Space group F-43m (No. 216)
Symmetry-distinct sites (fractional):
Lu1 0.000 0.000 0.000
Nb1 0.000 0.000 0.500
Nb2 0.250 0.250 0.250
Si1 0.250 0.250 0.750

## Properties
The size of the total moment is 0.003 μB per atom. As for the energy: -7.615 eV/atom.